[1]
A relaxed structure of AlAs2SBr. Source: Alexandria, functional GGA-PBE.

Output
- V (Å³ per cell) = 117.7
- VASP energy (hartree per atom) = -0.117

Unit cell a=4.9830 b=4.9830 c=4.7394 alpha=90.00 beta=90.00 gamma=90.00
Atoms (fractional coordinates):
Al: 0.0000 0.0000 0.0000
As: 0.0000 0.5000 0.0000
As: 0.5000 0.0000 0.0000
S: 0.5000 0.5000 0.5000
Br: 0.0000 0.0000 0.5000


[2]
A relaxed structure of AcPr2Co. Source: Alexandria, functional GGA-PBE.

Output
- V (Å³ per cell) = 400.8
- VASP energy (hartree per atom) = -0.190
- energy of formation from the pure elements (meV/atom) = 31

Unit cell a=4.0206 b=4.0206 c=28.6329 alpha=90.00 beta=90.00 gamma=120.00
Atoms (fractional coordinates):
Ac: 0.0000 0.0000 0.0000
Ac: 0.3333 0.6667 0.6667
Ac: 0.6667 0.3333 0.3333
Pr: 0.0000 0.0000 0.5520
Pr: 0.0000 0.0000 0.7792
Pr: 0.3333 0.6667 0.2187
Pr: 0.3333 0.6667 0.4459
Pr: 0.6667 0.3333 0.1126
Pr: 0.6667 0.3333 0.8853
Co: 0.0000 0.0000 0.1653
Co: 0.3333 0.6667 0.8320
Co: 0.6667 0.3333 0.4987


[3]
A relaxed structure of Zn2PRu. Source: Alexandria, functional GGA-PBE.

Output
- V (Å³ per cell) = 56.0
- VASP energy (hartree per atom) = -0.162
- energy of formation from the pure elements (meV/atom) = -90

Unit cell a=2.9805 b=3.4467 c=5.4530 alpha=90.00 beta=90.00 gamma=90.00
Atoms (fractional coordinates):
Zn: 0.0000 0.0000 0.0000
Zn: 0.5000 0.5000 0.2307
P: 0.0000 0.0000 0.5295
Ru: 0.5000 0.5000 0.7074